Below is a geometry-optimized K5Co2O6 structure, with properties calculated at the GGA+U level.

SG	No. 15
DFT total energy	-4.790	eV per atom

```
26
Lattice="-1.333 3.032 5.374 0.887 -3.363 5.268 12.890 4.420 3.318" Properties=species:S:1:pos:R:3 pbc="T T T"
K 0.315 -1.684 5.968
K 12.129 5.772 7.992
K 2.754 1.646 6.162
K 10.211 2.941 4.234
K 9.008 2.405 11.369
K 2.233 1.147 9.726
K 5.710 3.549 7.678
K 9.690 2.442 7.798
K 3.436 1.683 2.591
K 6.734 0.539 6.282
O 7.083 1.745 9.576
O 1.699 0.162 1.139
O 7.963 3.079 5.807
O 4.553 0.987 11.150
O 1.772 0.136 4.136
O 12.150 3.563 6.026
O 0.294 0.525 7.934
O 5.361 2.343 4.384
O 7.891 3.101 2.810
O 10.672 3.952 9.824
O 4.481 1.009 8.153
O 10.745 3.926 12.821
Co 1.155 -0.626 2.635
Co 11.289 4.714 11.325
Co 5.453 0.750 9.637
Co 6.991 3.338 4.323
```